1.
First-principles (PBE) data for an optimized crystal structure of NdEr2Al, as listed in the Alexandria database.

a = 3.4513 Å, b = 3.4513 Å, c = 34.3986 Å
α = 90.00°, β = 90.00°, γ = 120.00°
Space group R-3m (No. 166, hexagonal axes)
Unique sites:
Nd1 0.0000 0.0000 0.0000
Er1 0.0000 0.0000 0.1011
Al1 0.0000 0.0000 0.5000

Output
spin magnetization: 0.0 μB/f.u.
crystal system: trigonal
E_tot: -4.33 eV per atom

***

2.
First-principles (PBE) data for an optimized crystal structure of CsPd4, as listed in the Alexandria database.

a = 5.161 Å, b = 5.161 Å, c = 5.161 Å
α = 90.00°, β = 90.00°, γ = 90.00°
Space group Pm-3m (No. 221)
Unique sites:
Cs1 0.000 0.000 0.000
Pd1 0.000 0.000 0.500
Pd2 0.500 0.500 0.500

Output
spin magnetization: 0.0 μB/f.u.
crystal system: cubic
E_tot: -2.77 eV per atom

***

3.
First-principles (PBE) data for an optimized crystal structure of TiZnSn, as listed in the Alexandria database.

a = 4.058 Å, b = 13.115 Å, c = 4.055 Å
α = 90.00°, β = 90.00°, γ = 90.00°
Space group Cmmm (No. 65)
Unique sites:
Ti1 0.000 0.151 0.000
Zn1 0.000 0.000 0.500
Zn2 0.000 0.500 0.000
Sn1 0.000 0.336 0.500

Output
spin magnetization: 0.0 μB/f.u.
crystal system: orthorhombic
E_tot: -4.60 eV per atom

***

4.
First-principles (PBE) data for an optimized crystal structure of Ag2Hg3Te4, as listed in the Alexandria database.

a = 11.532 Å, b = 12.667 Å, c = 7.749 Å
α = 90.00°, β = 93.00°, γ = 90.00°
Space group C2/c (No. 15)
Unique sites:
Ag1 0.148 0.143 0.314
Hg1 0.000 0.185 0.750
Hg2 0.129 0.360 0.095
Te1 0.104 0.327 0.499
Te2 0.154 0.067 0.976

Output
spin magnetization: 0.0 μB/f.u.
crystal system: monoclinic
E_tot: -2.21 eV per atom